Ba2SrHg | PBE | relaxed

E_form (eV per atom): -0.070
Raw total energy (eV/f.u.): -6.11
N(E_F) (states/eV/cell): 6.0
V (Å³/f.u.): 180

Lattice parameters (Å, degrees): 7.080 7.080 7.080 134.04 134.04 67.02
Positions (direct):
Ba  0.250  0.750  0.500
Ba  0.750  0.250  0.500
Sr  0.000  0.000  0.000
Hg  0.500  0.500  0.000